<i>
Ta2CoAg after structural relaxation. Source: the Alexandria database, functional PBE.

As for the crystal system: monoclinic. For the magnetic moment, the calculation gives 0.001 Bohr magnetons per cell.

It has space group Pm (No. 6), with a = 2.800 Å, b = 4.557 Å, c = 5.047 Å, α = 90.00°, β = 94.86° and γ = 90.00°. The inequivalent atoms are Ta at (0.000, 0.000, 0.000), Ta at (0.184, 0.500, 0.667), Co at (0.567, 0.000, 0.530) and Ag at (0.595, 0.500, 0.192).



<ii>
Ta2CoAg after structural relaxation. Source: the Alexandria database, functional PBE.

As for the crystal system: orthorhombic. For the magnetic moment, the calculation gives 0.000 Bohr magnetons per cell.

It has space group Cmmm (No. 65), with a = 5.573 Å, b = 8.079 Å, c = 2.825 Å, α = 90.00°, β = 90.00° and γ = 90.00°. The inequivalent atoms are Ta at (0.250, 0.250, 0.000), Co at (0.000, 0.000, 0.500) and Ag at (0.000, 0.500, 0.500).



<iii>
Ta2CoAg after structural relaxation. Source: the Alexandria database, functional PBE.

As for the crystal system: orthorhombic. For the magnetic moment, the calculation gives 0.001 Bohr magnetons per cell.

It has space group Pmmm (No. 47), with a = 2.813 Å, b = 3.967 Å, c = 5.694 Å, α = 90.00°, β = 90.00° and γ = 90.00°. The inequivalent atoms are Ta at (0.000, 0.000, 0.231), Co at (0.500, 0.500, 0.000) and Ag at (0.500, 0.500, 0.500).



Most stable = <iii>



<i>
Tb4CoAg after structural relaxation. Source: the Alexandria database, functional PBE.

As for the crystal system: monoclinic. For the magnetic moment, the calculation gives 0.001 Bohr magnetons per cell.

It has space group C2/c (No. 15), with a = 8.526 Å, b = 12.322 Å, c = 6.113 Å, α = 90.00°, β = 104.94° and γ = 90.00°. The inequivalent atoms are Tb at (0.102, 0.165, 0.036), Tb at (0.205, 0.417, 0.409), Co at (0.000, 0.002, 0.250) and Ag at (0.000, 0.371, 0.750).



<ii>
Tb4CoAg after structural relaxation. Source: the Alexandria database, functional PBE.

As for the crystal system: cubic. For the magnetic moment, the calculation gives 0.001 Bohr magnetons per cell.

It has space group F-43m (No. 216), with a = 13.348 Å, b = 13.348 Å, c = 13.348 Å, α = 90.00°, β = 90.00° and γ = 90.00°. The inequivalent atoms are Tb at (0.000, 0.000, 0.188), Tb at (0.062, 0.250, 0.250), Tb at (0.098, 0.098, 0.598), Co at (0.109, 0.109, 0.391) and Ag at (0.169, 0.169, 0.831).



Most stable = <ii>



<i>
CoTc2Ag after structural relaxation. Source: the Alexandria database, functional PBE.

As for the crystal system: orthorhombic. For the magnetic moment, the calculation gives 3.146 Bohr magnetons per cell.

It has space group Cmm2 (No. 35), with a = 2.896 Å, b = 4.476 Å, c = 9.117 Å, α = 90.00°, β = 90.00° and γ = 90.00°. The inequivalent atoms are Co at (0.000, 0.000, 0.000), Tc at (0.000, 0.000, 0.468), Tc at (0.000, 0.500, 0.227) and Ag at (0.000, 0.500, 0.746).



<ii>
CoTc2Ag after structural relaxation. Source: the Alexandria database, functional PBE.

As for the crystal system: tetragonal. For the magnetic moment, the calculation gives 1.573 Bohr magnetons per cell.

It has space group P4/mmm (No. 123), with a = 3.727 Å, b = 3.727 Å, c = 4.103 Å, α = 90.00°, β = 90.00° and γ = 90.00°. The inequivalent atoms are Co at (0.000, 0.000, 0.000), Tc at (0.000, 0.500, 0.500) and Ag at (0.500, 0.500, 0.000).



<iii>
CoTc2Ag after structural relaxation. Source: the Alexandria database, functional PBE.

As for the crystal system: orthorhombic. For the magnetic moment, the calculation gives 1.302 Bohr magnetons per cell.

It has space group Pmmm (No. 47), with a = 2.695 Å, b = 3.929 Å, c = 5.463 Å, α = 90.00°, β = 90.00° and γ = 90.00°. The inequivalent atoms are Co at (0.000, 0.000, 0.000), Tc at (0.500, 0.500, 0.214) and Ag at (0.000, 0.000, 0.500).



<iv>
CoTc2Ag after structural relaxation. Source: the Alexandria database, functional PBE.

As for the crystal system: tetragonal. For the magnetic moment, the calculation gives 2.440 Bohr magnetons per cell.

It has space group I4/mmm (No. 139), with a = 3.708 Å, b = 3.708 Å, c = 8.288 Å, α = 90.00°, β = 90.00° and γ = 90.00°. The inequivalent atoms are Co at (0.000, 0.000, 0.000), Tc at (0.000, 0.500, 0.250) and Ag at (0.000, 0.000, 0.500).



Most stable = <i>



<i>
CoTc2Ag after structural relaxation. Source: the Alexandria database, functional PBE.

As for the crystal system: tetragonal. For the magnetic moment, the calculation gives 0.000 Bohr magnetons per cell.

It has space group I-42d (No. 122), with a = 7.062 Å, b = 7.062 Å, c = 4.996 Å, α = 90.00°, β = 90.00° and γ = 90.00°. The inequivalent atoms are Co at (0.000, 0.000, 0.000), Tc at (0.191, 0.250, 0.125) and Ag at (0.000, 0.000, 0.500).



<ii>
CoTc2Ag after structural relaxation. Source: the Alexandria database, functional PBE.

As for the crystal system: cubic. For the magnetic moment, the calculation gives 9.341 Bohr magnetons per cell.

It has space group Fm-3m (No. 225), with a = 6.146 Å, b = 6.146 Å, c = 6.146 Å, α = 90.00°, β = 90.00° and γ = 90.00°. The inequivalent atoms are Co at (0.000, 0.000, 0.000), Tc at (0.250, 0.250, 0.250) and Ag at (0.000, 0.000, 0.500).



<iii>
CoTc2Ag after structural relaxation. Source: the Alexandria database, functional PBE.

As for the crystal system: tetragonal. For the magnetic moment, the calculation gives 3.201 Bohr magnetons per cell.

It has space group I-4m2 (No. 119), with a = 3.875 Å, b = 3.875 Å, c = 7.600 Å, α = 90.00°, β = 90.00° and γ = 90.00°. The inequivalent atoms are Co at (0.000, 0.000, 0.000), Tc at (0.000, 0.000, 0.500), Tc at (0.000, 0.500, 0.250) and Ag at (0.000, 0.500, 0.750).



Most stable = <iii>



<i>
CoTc2Ag after structural relaxation. Source: the Alexandria database, functional PBE.

As for the crystal system: orthorhombic. For the magnetic moment, the calculation gives 2.854 Bohr magnetons per cell.

It has space group Immm (No. 71), with a = 2.735 Å, b = 4.428 Å, c = 9.709 Å, α = 90.00°, β = 90.00° and γ = 90.00°. The inequivalent atoms are Co at (0.000, 0.000, 0.000), Tc at (0.000, 0.500, 0.286) and Ag at (0.000, 0.000, 0.500).



<ii>
CoTc2Ag after structural relaxation. Source: the Alexandria database, functional PBE.

As for the crystal system: orthorhombic. For the magnetic moment, the calculation gives 1.609 Bohr magnetons per cell.

It has space group Pmm2 (No. 25), with a = 2.726 Å, b = 3.832 Å, c = 5.580 Å, α = 90.00°, β = 90.00° and γ = 90.00°. The inequivalent atoms are Co at (0.000, 0.000, 0.000), Tc at (0.000, 0.000, 0.446), Tc at (0.500, 0.500, 0.229) and Ag at (0.500, 0.500, 0.740).



Most stable = <ii>



<i>
CoTc2Ag after structural relaxation. Source: the Alexandria database, functional PBE.

As for the crystal system: orthorhombic. For the magnetic moment, the calculation gives 2.756 Bohr magnetons per cell.

It has space group Cmmm (No. 65), with a = 5.261 Å, b = 8.210 Å, c = 2.645 Å, α = 90.00°, β = 90.00° and γ = 90.00°. The inequivalent atoms are Co at (0.000, 0.000, 0.000), Tc at (0.250, 0.250, 0.500) and Ag at (0.000, 0.500, 0.000).



<ii>
CoTc2Ag after structural relaxation. Source: the Alexandria database, functional PBE.

As for the crystal system: trigonal. For the magnetic moment, the calculation gives 1.995 Bohr magnetons per cell.

It has space group R-3m (No. 166, hexagonal axes), with a = 2.7056 Å, b = 2.7056 Å, c = 27.2569 Å, α = 90.00°, β = 90.00° and γ = 120.00°. The inequivalent atoms are Co at (0.0000, 0.0000, 0.0000), Tc at (0.0000, 0.0000, 0.2589) and Ag at (0.0000, 0.0000, 0.5000).



<iii>
CoTc2Ag after structural relaxation. Source: the Alexandria database, functional PBE.

As for the crystal system: monoclinic. For the magnetic moment, the calculation gives 1.879 Bohr magnetons per cell.

It has space group Cm (No. 8), with a = 9.066 Å, b = 2.660 Å, c = 4.851 Å, α = 90.00°, β = 99.86° and γ = 90.00°. The inequivalent atoms are Co at (0.000, 0.000, 0.000), Tc at (0.015, 0.500, 0.547), Tc at (0.275, 0.000, 0.763) and Ag at (0.255, 0.500, 0.251).



Most stable = <ii>



<i>
CoTc2Ag after structural relaxation. Source: the Alexandria database, functional PBE.

As for the crystal system: monoclinic. For the magnetic moment, the calculation gives 2.590 Bohr magnetons per cell.

It has space group C2/m (No. 12), with a = 9.414 Å, b = 2.710 Å, c = 4.630 Å, α = 90.00°, β = 102.93° and γ = 90.00°. The inequivalent atoms are Co at (0.000, 0.000, 0.000), Tc at (0.233, 0.500, 0.231) and Ag at (0.000, 0.500, 0.500).



<ii>
CoTc2Ag after structural relaxation. Source: the Alexandria database, functional PBE.

As for the crystal system: cubic. For the magnetic moment, the calculation gives 6.074 Bohr magnetons per cell.

It has space group F-43m (No. 216), with a = 6.150 Å, b = 6.150 Å, c = 6.150 Å, α = 90.00°, β = 90.00° and γ = 90.00°. The inequivalent atoms are Co at (0.000, 0.000, 0.000), Tc at (0.000, 0.000, 0.500), Tc at (0.250, 0.250, 0.750) and Ag at (0.250, 0.250, 0.250).



<iii>
CoTc2Ag after structural relaxation. Source: the Alexandria database, functional PBE.

As for the crystal system: tetragonal. For the magnetic moment, the calculation gives 0.536 Bohr magnetons per cell.

It has space group P4mm (No. 99), with a = 2.692 Å, b = 2.692 Å, c = 7.901 Å, α = 90.00°, β = 90.00° and γ = 90.00°. The inequivalent atoms are Co at (0.000, 0.000, 0.000), Tc at (0.000, 0.000, 0.461), Tc at (0.500, 0.500, 0.205) and Ag at (0.500, 0.500, 0.743).



<iv>
CoTc2Ag after structural relaxation. Source: the Alexandria database, functional PBE.

As for the crystal system: tetragonal. For the magnetic moment, the calculation gives 0.882 Bohr magnetons per cell.

It has space group P4/mmm (No. 123), with a = 2.632 Å, b = 2.632 Å, c = 8.212 Å, α = 90.00°, β = 90.00° and γ = 90.00°. The inequivalent atoms are Co at (0.000, 0.000, 0.000), Tc at (0.500, 0.500, 0.221) and Ag at (0.000, 0.000, 0.500).



Most stable = <iii>



<i>
Co2TcAg after structural relaxation. Source: the Alexandria database, functional PBE.

As for the crystal system: monoclinic. For the magnetic moment, the calculation gives 3.991 Bohr magnetons per cell.

It has space group P2/m (No. 10), with a = 4.677 Å, b = 2.604 Å, c = 4.873 Å, α = 90.00°, β = 112.60° and γ = 90.00°. The inequivalent atoms are Co at (0.000, 0.000, 0.000), Co at (0.000, 0.500, 0.500), Tc at (0.500, 0.000, 0.500) and Ag at (0.500, 0.500, 0.000).



<ii>
Co2TcAg after structural relaxation. Source: the Alexandria database, functional PBE.

As for the crystal system: monoclinic. For the magnetic moment, the calculation gives 4.817 Bohr magnetons per cell.

It has space group C2/m (No. 12), with a = 8.523 Å, b = 2.640 Å, c = 4.930 Å, α = 90.00°, β = 98.36° and γ = 90.00°. The inequivalent atoms are Co at (0.245, 0.000, 0.208), Tc at (0.000, 0.500, 0.000) and Ag at (0.000, 0.000, 0.500).



<iii>
Co2TcAg after structural relaxation. Source: the Alexandria database, functional PBE.

As for the crystal system: tetragonal. For the magnetic moment, the calculation gives 0.000 Bohr magnetons per cell.

It has space group P4/mmm (No. 123), with a = 2.684 Å, b = 2.684 Å, c = 7.381 Å, α = 90.00°, β = 90.00° and γ = 90.00°. The inequivalent atoms are Co at (0.000, 0.000, 0.227), Tc at (0.500, 0.500, 0.000) and Ag at (0.500, 0.500, 0.500).



<iv>
Co2TcAg after structural relaxation. Source: the Alexandria database, functional PBE.

As for the crystal system: trigonal. For the magnetic moment, the calculation gives 6.893 Bohr magnetons per cell.

It has space group R-3m (No. 166, hexagonal axes), with a = 2.6838 Å, b = 2.6838 Å, c = 26.1317 Å, α = 90.00°, β = 90.00° and γ = 120.00°. The inequivalent atoms are Co at (0.0000, 0.0000, 0.2444), Tc at (0.0000, 0.0000, 0.5000) and Ag at (0.0000, 0.0000, 0.0000).



Most stable = <iii>



<i>
Co2TcAg after structural relaxation. Source: the Alexandria database, functional PBE.

As for the crystal system: tetragonal. For the magnetic moment, the calculation gives 0.639 Bohr magnetons per cell.

It has space group I-4m2 (No. 119), with a = 3.656 Å, b = 3.656 Å, c = 7.948 Å, α = 90.00°, β = 90.00° and γ = 90.00°. The inequivalent atoms are Co at (0.000, 0.000, 0.000), Co at (0.000, 0.500, 0.250), Tc at (0.000, 0.500, 0.750) and Ag at (0.000, 0.000, 0.500).



<ii>
Co2TcAg after structural relaxation. Source: the Alexandria database, functional PBE.

As for the crystal system: orthorhombic. For the magnetic moment, the calculation gives 5.608 Bohr magnetons per cell.

It has space group Imm2 (No. 44), with a = 2.660 Å, b = 4.441 Å, c = 9.207 Å, α = 90.00°, β = 90.00° and γ = 90.00°. The inequivalent atoms are Co at (0.000, 0.000, 0.000), Co at (0.000, 0.500, 0.289), Tc at (0.000, 0.500, 0.734) and Ag at (0.000, 0.000, 0.521).



Most stable = <ii>